No. 1
{
  "formula": "NbV2Mo3",
  "functional": "PBE-GGA",
  "state": "optimized geometry",
  "total_energy_ev_per_atom": -9.7370,
  "mass_density_g_cm3": 8.25,
  "lattice_angstrom": [[4.855, 0.000, 0.000], [0.000, 5.938, 2.623], [0.000, -0.623, 6.461]],
  "species": ["Mo", "Mo", "V", "V", "Mo", "Nb", "Mo", "V", "Mo", "Nb", "Mo", "V"],
  "frac_coords": [[0.960, 0.210, 0.210], [0.505, 0.480, 0.143], [0.538, 0.400, 0.720], [0.038, 0.600, 0.280], [0.505, 0.143, 0.480], [0.911, 0.933, 0.933], [0.005, 0.857, 0.520], [0.038, 0.280, 0.600], [0.005, 0.520, 0.857], [0.411, 0.067, 0.067], [0.460, 0.790, 0.790], [0.538, 0.720, 0.400]]
}



No. 2
{
  "formula": "Nb3V2Mo3",
  "functional": "PBE-GGA",
  "state": "optimized geometry",
  "total_energy_ev_per_atom": -10.2124,
  "mass_density_g_cm3": 8.59,
  "lattice_angstrom": [[-1.700, -2.048, 1.770], [1.779, -3.486, -2.327], [6.628, 2.276, 6.114]],
  "species": ["Nb", "V", "Mo", "Nb", "V", "Mo", "Nb", "Mo"],
  "frac_coords": [[0.500, 0.000, 0.000], [0.254, 0.754, 0.507], [0.000, 0.500, 0.000], [0.629, 0.629, 0.257], [0.746, 0.246, 0.493], [0.132, 0.132, 0.264], [0.371, 0.371, 0.743], [0.868, 0.868, 0.736]]
}